P | {"formula": "Hg3Sb2Br2", "functional": "GGA-PBE", "state": "optimized geometry", "cell": [[5.8778, 0.0000, -1.3009], [0.0000, 8.3268, 0.0000], [2.2208, 0.0000, 10.9252]], "species": ["Hg", "Hg", "Hg", "Hg", "Hg", "Hg", "Sb", "Sb", "Sb", "Sb", "Br", "Br", "Br", "Br"], "fractional_positions": [[0.5000, 0.5000, 0.5000], [0.0000, 0.0000, 0.0000], [0.7457, 0.1023, 0.2491], [0.7543, 0.6023, 0.2509], [0.2543, 0.8977, 0.7509], [0.2457, 0.3977, 0.7491], [0.6119, 0.3547, 0.0988], [0.8881, 0.8547, 0.4012], [0.1119, 0.1453, 0.5988], [0.3881, 0.6453, 0.9012], [0.7949, 0.6398, 0.8182], [0.2949, 0.8602, 0.3182], [0.2051, 0.3602, 0.1818], [0.7051, 0.1398, 0.6818]], "sg": "No. 14", "magnetic_moment_mub_per_fu": 0.00, "volume_a3_per_cell": 558.77, "rho_g_cm3": 5.97}


Q | {"formula": "Hg3Sb2Br2", "functional": "GGA-PBE", "state": "optimized geometry", "cell": [[4.9049, -0.2793, -0.4592], [-2.6424, 6.1199, -1.2922], [-0.7756, -2.4137, 9.7542]], "species": ["Br", "Br", "Hg", "Hg", "Hg", "Sb", "Sb"], "fractional_positions": [[0.9830, 0.8142, 0.6228], [0.0170, 0.1858, 0.3772], [0.0000, 0.0000, 0.0000], [0.7910, 0.5810, 0.3265], [0.2090, 0.4190, 0.6735], [0.5995, 0.3358, 0.0170], [0.4005, 0.6642, 0.9830]], "sg": "No. 2", "magnetic_moment_mub_per_fu": 0.00, "volume_a3_per_cell": 264.91, "rho_g_cm3": 6.30}


Stability, highest: Q


P | {"formula": "Hg2SbBr6", "functional": "GGA-PBE", "state": "optimized geometry", "cell": [[4.0553, 1.0698, 0.0000], [0.9237, 9.6621, 0.0000], [0.0000, 0.0000, 19.4566]], "species": ["Br", "Br", "Br", "Br", "Br", "Br", "Br", "Br", "Br", "Br", "Br", "Br", "Hg", "Hg", "Hg", "Hg", "Sb", "Sb"], "fractional_positions": [[0.3774, 0.0397, 0.8212], [0.5000, 0.2935, 0.5072], [0.3273, 0.4583, 0.8696], [0.1226, 0.4603, 0.3212], [0.6727, 0.5417, 0.1304], [0.6226, 0.9603, 0.1788], [0.1727, 0.0417, 0.3696], [0.5000, 0.7065, 0.4928], [0.0000, 0.2065, 0.0072], [0.0000, 0.7935, 0.9928], [0.8273, 0.9583, 0.6304], [0.8774, 0.5397, 0.6788], [0.7619, 0.1745, 0.8808], [0.2381, 0.8255, 0.1192], [0.7381, 0.3255, 0.3808], [0.2619, 0.6745, 0.6192], [0.0000, 0.5000, 0.0000], [0.5000, 0.0000, 0.5000]], "sg": "No. 14", "magnetic_moment_mub_per_fu": 1.02, "volume_a3_per_cell": 743.14, "rho_g_cm3": 4.48}


Q | {"formula": "Hg2SbBr6", "functional": "GGA-PBE", "state": "optimized geometry", "cell": [[-2.8743, -3.0085, -8.9569], [-5.6319, -7.2591, 2.6502], [-7.4962, 5.8249, -1.1462]], "species": ["Hg", "Hg", "Hg", "Hg", "Br", "Br", "Br", "Br", "Br", "Br", "Br", "Br", "Br", "Br", "Br", "Br", "Sb", "Sb"], "fractional_positions": [[0.0723, 0.6582, 0.7157], [0.9277, 0.3418, 0.2843], [0.5723, 0.7157, 0.6582], [0.4277, 0.2843, 0.3418], [0.6564, 0.3822, 0.3859], [0.8151, 0.9231, 0.3315], [0.8436, 0.6141, 0.6178], [0.9649, 0.2061, 0.0166], [0.5351, 0.9834, 0.7939], [0.3151, 0.3315, 0.9231], [0.0351, 0.7939, 0.9834], [0.6849, 0.6685, 0.0769], [0.1564, 0.3859, 0.3822], [0.4649, 0.0166, 0.2061], [0.3436, 0.6178, 0.6141], [0.1849, 0.0769, 0.6685], [0.2500, 0.0845, 0.9155], [0.7500, 0.9155, 0.0845]], "sg": "No. 15", "magnetic_moment_mub_per_fu": 0.00, "volume_a3_per_cell": 880.88, "rho_g_cm3": 3.78}


Stability, highest: Q